Density functional theory data (PBE) for a relaxed structure of Hf8MnTe6.

Computed properties:
**Raw formation energy**: -0.612 eV per atom
**DOS at the Fermi energy**: 0.660 states/eV per atom
**Energy**: -233.66 eV per cell
**Space group**: Pmmn

a = 3.739 Å, b = 7.694 Å, c = 26.105 Å
α = 90.00°, β = 90.00°, γ = 90.00°
Element x y z (fractional)
Hf1 0.000 0.554 0.401
Hf2 0.000 0.561 0.801
Te1 0.000 0.720 0.702
Hf3 0.500 0.439 0.699
Hf4 0.500 0.237 0.433
Hf5 0.000 0.554 0.599
Te2 0.000 0.152 0.919
Hf6 0.500 0.570 0.500
Te3 0.500 0.802 0.156
Hf7 0.000 0.763 0.933
Hf8 0.500 0.237 0.567
Hf9 0.000 0.430 0.000
Te4 0.000 0.198 0.344
Te5 0.500 0.848 0.419
Mn1 0.000 0.315 0.500
Te6 0.500 0.848 0.581
Hf10 0.000 0.962 0.500
Te7 0.000 0.198 0.656
Te8 0.500 0.802 0.844
Mn2 0.500 0.685 0.000
Hf11 0.500 0.446 0.901
Hf12 0.500 0.446 0.099
Hf13 0.500 0.439 0.301
Hf14 0.000 0.561 0.199
Hf15 0.000 0.763 0.067
Te9 0.500 0.280 0.202
Te10 0.000 0.720 0.298
Te11 0.500 0.280 0.798
Hf16 0.500 0.038 0.000
Te12 0.000 0.152 0.081